Re2MoAu: optimized geometry, PBE.

DFT total energy   -0.348 hartree per atom
DOS at the Fermi energy   5.88 states/eV per cell

abc: 3.967 3.982 7.905
angles: 90.00 90.00 90.00
Space group Imm2 (No. 44)
One atom of each set of equivalent atoms:
Re 0.000 0.000 0.000
Re 0.000 0.500 0.259
Mo 0.000 0.500 0.758
Au 0.000 0.000 0.507